# 1
An optimized crystal structure of Be2CuMo. Source: Alexandria via LeMat-Bulk, functional GGA-PBEsol.

```
Be2CuMo
1.0
-1.880 0.494 1.590
-1.901 -3.862 -1.048
3.953 -0.146 2.736
Be Mo Cu
2 1 1
direct
0.770 0.770 0.540
0.230 0.230 0.460
0.000 0.500 0.000
0.500 0.000 0.000
```

Output
- formation energy (kJ per mole of atoms) = 25
- polymorph energy (0 for the lowest one) (meV per atom) = 193

---

# 2
An optimized crystal structure of SnH4Cl2O2. Source: Alexandria via LeMat-Bulk, functional GGA-PBEsol.

```
SnH4Cl2O2
1.0
-3.928 -0.624 5.629
7.103 -0.075 4.948
-3.515 8.370 -1.525
Sn H Cl O
4 16 8 8
direct
0.261 0.968 0.621
0.761 0.532 0.379
0.739 0.032 0.379
0.239 0.468 0.621
0.490 0.097 0.904
0.990 0.403 0.096
0.510 0.903 0.096
0.010 0.597 0.904
0.303 0.015 0.949
0.803 0.485 0.051
0.697 0.985 0.051
0.197 0.515 0.949
0.233 0.788 0.996
0.733 0.712 0.004
0.767 0.212 0.004
0.267 0.288 0.996
0.196 0.972 0.143
0.696 0.528 0.857
0.804 0.028 0.857
0.304 0.472 0.143
0.002 0.821 0.717
0.502 0.679 0.283
0.998 0.179 0.283
0.498 0.321 0.717
0.995 0.204 0.683
0.495 0.296 0.317
0.005 0.796 0.317
0.505 0.704 0.683
0.342 0.092 0.894
0.842 0.408 0.106
0.658 0.908 0.106
0.158 0.592 0.894
0.287 0.907 0.055
0.787 0.593 0.945
0.713 0.093 0.945
0.213 0.407 0.055
```

Output
- final energy (eV/cell) = -165.520

---

M_tot list, top to bottom, in μB/cell: 0.0, 0.0
Volume list, top to bottom, in Å³ per cell: 45.4, 499.5